Entry 1:
# AcHg2GeO6 (PBE-GGA, optimized geometry)
data_AcHg2GeO6
_chemical_formula_sum 'Ac3 Hg6 Ge3 O18'
_cell_length_a 5.6429
_cell_length_b 5.6429
_cell_length_c 16.6408
_cell_angle_alpha 90.00
_cell_angle_beta 90.00
_cell_angle_gamma 120.00
_space_group_name_H-M_alt 'R -3'
_space_group_IT_number 148
_space_group_name_Hall '-R 3'
loop_
_atom_site_label
_atom_site_type_symbol
_atom_site_fract_x
_atom_site_fract_y
_atom_site_fract_z
Ac1 Ac 0.0000 0.0000 0.0000
Hg1 Hg 0.0000 0.0000 0.2136
Ge1 Ge 0.0000 0.0000 0.5000
O1 O 0.0355 0.4081 0.2339
# Electronic total energy in eV/atom: -5.245
# Volume in Å³/atom: 15.3
# Crystal system: trigonal

---

Entry 2:
# AcPm2Ru (PBE-GGA, optimized geometry)
data_AcPm2Ru
_chemical_formula_sum 'Ac4 Pm8 Ru4'
_cell_length_a 7.516
_cell_length_b 9.981
_cell_length_c 6.580
_cell_angle_alpha 90.00
_cell_angle_beta 90.00
_cell_angle_gamma 90.00
_space_group_name_H-M_alt 'P n m a'
_space_group_IT_number 62
_space_group_name_Hall '-P 2ac 2n'
loop_
_atom_site_label
_atom_site_type_symbol
_atom_site_fract_x
_atom_site_fract_y
_atom_site_fract_z
Ac1 Ac 0.045 0.250 0.147
Pm1 Pm 0.173 0.071 0.671
Ru1 Ru 0.117 0.750 0.432
# Volume in Å³/atom: 30.8
# Crystal system: orthorhombic
# Formation energy from the elements in eV per atom: -0.19